## 1
A plane-wave DFT calculation with PBE was carried out for a relaxed structure of VNi8Rh2.

Cell: 4.5079 7.1124 7.1124 Å, 38.35 70.32 70.32°
Last column: nearest neighbours and their distance in Å.
Positions (direct):
V (0.0000, 0.0000, 0.0000)  8 Ni 2.40-2.61, 2 Rh 2.43
Ni (0.7039, 0.1594, 0.6595)  6 Ni 2.34-2.47, 1 V 2.40
Ni (0.9029, 0.7359, 0.7359)  7 Ni 2.38-2.57, 2 Rh 2.44-2.45
Rh (0.3212, 0.8110, 0.8110)  1 V 2.43, 6 Ni 2.44-2.72
Ni (0.2223, 0.4220, 0.4220)  4 Ni 2.33-2.42
Ni (0.7039, 0.6595, 0.1594)  6 Ni 2.34-2.47, 1 V 2.40
Ni (0.2961, 0.8406, 0.3405)  6 Ni 2.34-2.47, 1 V 2.40
Ni (0.7777, 0.5780, 0.5780)  4 Ni 2.33-2.42
Ni (0.2961, 0.3405, 0.8406)  6 Ni 2.34-2.47, 1 V 2.40
Rh (0.6788, 0.1890, 0.1890)  1 V 2.43, 6 Ni 2.44-2.72
Ni (0.0971, 0.2641, 0.2641)  7 Ni 2.38-2.57, 2 Rh 2.44-2.45

Output
As for the spin magnetization: 4.079 μB/cell. Its space group is No. 12.


## 2
A plane-wave DFT calculation with PBE was carried out for a relaxed structure of VNi8Rh2.

Cell: 3.5973 5.7319 6.7221 Å, 105.38 105.52 90.00°
Last column: nearest neighbours and their distance in Å.
Positions (direct):
Ni (0.3212, 0.0873, 0.6425)  1 V 2.50, 8 Ni 2.53-2.65, 3 Rh 2.53-2.56
Ni (0.9562, 0.2706, 0.9123)  9 Ni 2.47-2.59, 1 Rh 2.52, 2 V 2.54
Ni (0.5871, 0.4439, 0.1742)  1 V 2.48, 8 Ni 2.48-2.62, 3 Rh 2.56-2.62
Rh (0.7763, 0.3607, 0.5527)  10 Ni 2.52-2.62, 2 Rh 2.62
Ni (0.6788, 0.9127, 0.3575)  1 V 2.50, 8 Ni 2.53-2.65, 3 Rh 2.53-2.56
V (0.5000, 0.0000, 0.0000)  12 Ni 2.48-2.54
Rh (0.2237, 0.6393, 0.4473)  10 Ni 2.52-2.62, 2 Rh 2.62
Ni (0.8689, 0.8252, 0.7378)  7 Ni 2.47-2.65, 2 V 2.49, 3 Rh 2.60-2.61
Ni (0.1311, 0.1748, 0.2622)  7 Ni 2.47-2.65, 2 V 2.49, 3 Rh 2.60-2.61
Ni (0.0438, 0.7294, 0.0877)  9 Ni 2.47-2.59, 1 Rh 2.52, 2 V 2.54
Ni (0.4129, 0.5561, 0.8258)  1 V 2.48, 8 Ni 2.48-2.62, 3 Rh 2.56-2.62

Output
As for the spin magnetization: 2.185 μB/cell. Its space group is No. 12.


Which of them is most stable? Easy: 2.


## 1
A plane-wave DFT calculation with PBE was carried out for a relaxed structure of V2Ni3Rh.

Cell: 7.7834 7.7834 7.5490 Å, 121.03 121.03 90.00°
Last column: nearest neighbours and their distance in Å.
Positions (direct):
V (0.2765, 0.0987, 0.1974)  7 Ni 2.38-2.54, 2 Rh 2.54-2.57
V (0.9013, 0.7235, 0.8026)  7 Ni 2.38-2.54, 2 Rh 2.54-2.57
Rh (0.9417, 0.4417, 0.8835)  4 V 2.54-2.57, 6 Ni 2.72-2.84
Ni (0.7195, 0.2805, 0.0000)  4 V 2.45-2.54, 4 Ni 2.55-2.63
Rh (0.5583, 0.0583, 0.1165)  4 V 2.54-2.57, 6 Ni 2.72-2.84
Ni (0.9695, 0.4695, 0.5000)  4 V 2.45-2.54, 4 Ni 2.55-2.63
V (0.3487, 0.0265, 0.6974)  7 Ni 2.38-2.54, 2 Rh 2.54-2.57
V (0.9209, 0.0987, 0.1974)  7 Ni 2.38-2.54, 2 Rh 2.54-2.57
V (0.3487, 0.6709, 0.6974)  7 Ni 2.38-2.54, 2 Rh 2.54-2.57
Ni (0.2805, 0.2805, 0.0000)  4 V 2.45-2.54, 4 Ni 2.55-2.63
Rh (0.6917, 0.6917, 0.3835)  4 V 2.54-2.57, 6 Ni 2.72-2.84
V (0.3291, 0.6513, 0.3026)  7 Ni 2.38-2.54, 2 Rh 2.54-2.57
Ni (0.1250, 0.8750, 0.7500)  6 V 2.38-2.40, 4 Ni 2.55
Ni (0.5305, 0.0305, 0.5000)  4 V 2.45-2.54, 4 Ni 2.55-2.63
V (0.9013, 0.0791, 0.8026)  7 Ni 2.38-2.54, 2 Rh 2.54-2.57
Ni (0.2805, 0.7195, 0.0000)  4 V 2.45-2.54, 4 Ni 2.55-2.63
Ni (0.1250, 0.3750, 0.2500)  6 V 2.38-2.40, 4 Ni 2.55
Ni (0.1250, 0.8750, 0.2500)  6 V 2.38-2.40, 4 Ni 2.55
Rh (0.3083, 0.3083, 0.6165)  4 V 2.54-2.57, 6 Ni 2.72-2.84
Ni (0.7195, 0.7195, 0.0000)  4 V 2.45-2.54, 4 Ni 2.55-2.63
Ni (0.6250, 0.8750, 0.7500)  6 V 2.38-2.40, 4 Ni 2.55
Ni (0.5305, 0.4695, 0.5000)  4 V 2.45-2.54, 4 Ni 2.55-2.63
Ni (0.9695, 0.0305, 0.5000)  4 V 2.45-2.54, 4 Ni 2.55-2.63
V (0.9735, 0.6513, 0.3026)  7 Ni 2.38-2.54, 2 Rh 2.54-2.57

Output
As for the spin magnetization: 0.000 μB/cell. Its space group is No. 141.


## 2
A plane-wave DFT calculation with PBE was carried out for a relaxed structure of V2Ni3Rh.

Cell: 4.2464 6.7595 6.8401 Å, 125.44 90.00 108.31°
Last column: nearest neighbours and their distance in Å.
Positions (direct):
Ni (0.7066, 0.4133, 0.3956)  2 V 2.36-2.53, 4 Ni 2.42-2.61, 2 Rh 2.62
Ni (0.3818, 0.7636, 0.3651)  4 Ni 2.40-2.54, 4 V 2.41-2.65, 1 Rh 2.54
Rh (0.8668, 0.7337, 0.8854)  3 V 2.49-2.57, 6 Ni 2.54-2.71, 1 Rh 2.76
Ni (0.2934, 0.5867, 0.6044)  2 V 2.36-2.53, 4 Ni 2.42-2.61, 2 Rh 2.62
Ni (0.0398, 0.0796, 0.3783)  4 Ni 2.43-2.61, 4 V 2.47-2.53, 2 Rh 2.67-2.71
Ni (0.6182, 0.2364, 0.6349)  4 Ni 2.40-2.54, 4 V 2.41-2.65, 1 Rh 2.54
V (0.2028, 0.4056, 0.8450)  5 Ni 2.42-2.53, 1 Rh 2.49, 2 V 2.71
Ni (0.9602, 0.9204, 0.6217)  4 Ni 2.43-2.61, 4 V 2.47-2.53, 2 Rh 2.67-2.71
Rh (0.1332, 0.2663, 0.1146)  3 V 2.49-2.57, 6 Ni 2.54-2.71, 1 Rh 2.76
V (0.7972, 0.5944, 0.1550)  5 Ni 2.42-2.53, 1 Rh 2.49, 2 V 2.71
V (0.5255, 0.0509, 0.8534)  4 Ni 2.36-2.47, 1 V 2.46, 2 Rh 2.57
V (0.4745, 0.9491, 0.1466)  4 Ni 2.36-2.47, 1 V 2.46, 2 Rh 2.57

Output
As for the spin magnetization: 0.000 μB/cell. Its space group is No. 12.


Which of them is most stable? Easy: 2.


## 1
A plane-wave DFT calculation with PBE was carried out for a relaxed structure of NiRhW2.

Cell: 4.7676 4.7676 4.7676 Å, 132.80 132.82 68.96°
Last column: nearest neighbours and their distance in Å.
Positions (direct):
Rh (0.2500, 0.7500, 0.5000)  4 Ni 2.70, 8 W 2.74
Ni (0.7500, 0.2500, 0.5000)  4 Rh 2.70, 8 W 2.74
W (0.5000, 0.5000, 0.0000)  4 W 2.70, 4 Rh 2.74, 4 Ni 2.74
W (0.0000, 0.0000, 0.0000)  4 W 2.70, 4 Ni 2.74, 4 Rh 2.74

Output
As for the spin magnetization: 0.000 μB/cell. Its space group is No. 139.


## 2
A plane-wave DFT calculation with PBE was carried out for a relaxed structure of NiRhW2.

Cell: 4.3539 4.3539 4.3539 Å, 60.00 60.00 60.00°
Last column: nearest neighbours and their distance in Å.
Positions (direct):
Ni (0.5000, 0.5000, 0.5000)  4 W 2.67, 4 Rh 2.67
W (0.2500, 0.2500, 0.2500)  4 W 2.67, 4 Ni 2.67
W (0.0000, 0.0000, 0.0000)  4 W 2.67, 4 Rh 2.67
Rh (0.7500, 0.7500, 0.7500)  4 W 2.67, 4 Ni 2.67

Output
As for the spin magnetization: 0.000 μB/cell. Its space group is No. 216.


Which of them is most stable? Easy: 1.